Record 1
# KNa2GaSi, optimized geometry, DFT PBE-GGA
data_KNa2GaSi
_cell_length_a 5.6597
_cell_length_b 5.6597
_cell_length_c 5.1657
_cell_angle_alpha 90.00
_cell_angle_beta 90.00
_cell_angle_gamma 90.00
_space_group_name_H-M_alt 'P 4/m m m'
_space_group_IT_number 123
_space_group_name_Hall '-P 4 2'
loop_
_atom_site_label
_atom_site_type_symbol
_atom_site_fract_x
_atom_site_fract_y
_atom_site_fract_z
K1 K 0.0000 0.0000 0.0000
Na1 Na 0.0000 0.5000 0.5000
Ga1 Ga 0.5000 0.5000 0.0000
Si1 Si 0.5000 0.5000 0.5000
# energy	-2.3135	eV/atom
# size of the total moment	0.000	μB/atom
# formation energy from raw total energies	0.1236	eV/atom

***

Record 2
# K2NaGa3Sn4, optimized geometry, DFT PBE-GGA
data_K2NaGa3Sn4
_cell_length_a 4.9281
_cell_length_b 4.9281
_cell_length_c 11.8640
_cell_angle_alpha 90.00
_cell_angle_beta 90.00
_cell_angle_gamma 90.00
_space_group_name_H-M_alt 'P -4 m 2'
_space_group_IT_number 115
_space_group_name_Hall 'P -4 -2'
loop_
_atom_site_label
_atom_site_type_symbol
_atom_site_fract_x
_atom_site_fract_y
_atom_site_fract_z
K1 K 0.0000 0.5000 0.2482
Na1 Na 0.0000 0.0000 0.5000
Ga1 Ga 0.0000 0.5000 0.8696
Ga2 Ga 0.5000 0.5000 0.5000
Sn1 Sn 0.0000 0.0000 0.0000
Sn2 Sn 0.0000 0.5000 0.6404
Sn3 Sn 0.5000 0.5000 0.0000
# energy	-2.9875	eV/atom
# size of the total moment	0.000	μB/atom
# ΔH_f (0 K)	-0.13	eV per atom